Density functional theory data (PBE) for a relaxed structure of K3BaCe2Se6.

Cell lengths 7.7533, 7.7533, 8.1001 Å; angles 99.30, 99.30, 120.02 degrees
Last column: nearest neighbours and their distance in Å.
Element x y z (fractional)
K  0.0000  0.0000  0.0000  6 Se 3.24-3.50
K  0.3387  0.6613  0.0000  6 Se 3.27-3.52
K  0.6613  0.3387  0.0000  6 Se 3.27-3.52
Ba  0.5000  0.5000  0.5000  6 Se 3.25
Ce  0.1673  0.8327  0.5000  6 Se 2.95-2.96
Ce  0.8327  0.1673  0.5000  6 Se 2.95-2.96
Se  0.0649  0.4289  0.2892  2 Ce 2.95, 1 Ba 3.25, 1 K 3.27
Se  0.2075  0.2075  0.7113  2 Ce 2.96, 1 K 3.24, 1 Ba 3.25
Se  0.4289  0.0649  0.2892  2 Ce 2.95, 1 Ba 3.25, 1 K 3.27
Se  0.5711  0.9351  0.7108  2 Ce 2.95, 1 Ba 3.25, 1 K 3.27
Se  0.7925  0.7925  0.2887  2 Ce 2.96, 1 K 3.24, 1 Ba 3.25
Se  0.9351  0.5711  0.7108  2 Ce 2.95, 1 Ba 3.25, 1 K 3.27

Results
Raw formation energy ... -1687 meV per atom
DFT total energy ... -4.853 eV per atom